(1)
An optimized crystal structure of CdSiIr2, computed with PBE.

The space group is Cmm2 (No. 35) and the conventional cell measures 2.7843, 4.8325 and 10.0244 Å, with angles of 90.00, 90.00 and 90.00 degrees. The distinct sites, in fractional coordinates, are Cd at (0.0000, 0.0000, 0.0000), Si at (0.0000, 0.5000, 0.3131), Ir at (0.0000, 0.0000, 0.5142) and Ir at (0.0000, 0.5000, 0.7480).

The volume comes out at 67 Å³/f.u. The crystal system is orthorhombic. The calculation puts the density of states at the Fermi level at 7.20 states/eV per cell. The magnetic moment comes out at 0.000 μB per formula unit. The calculation puts the uncorrected formation energy at 0.28 eV per atom.

***

(2)
An optimized crystal structure of CdSiIr2, computed with PBE.

The space group is R-3m (No. 166, hexagonal axes) and the conventional cell measures 2.8936, 2.8936 and 25.7050 Å, with angles of 90.00, 90.00 and 120.00 degrees. The distinct sites, in fractional coordinates, are Cd at (0.0000, 0.0000, 0.0000), Si at (0.0000, 0.0000, 0.5000) and Ir at (0.0000, 0.0000, 0.2356).

The volume comes out at 62 Å³/f.u. The crystal system is trigonal. The calculation puts the density of states at the Fermi level at 11.69 states/eV per cell. The magnetic moment comes out at 0.000 μB per formula unit. The calculation puts the uncorrected formation energy at -0.28 eV per atom.